# 1
Below is an optimized crystal structure of YTi2Bi2, with properties calculated at the GGA-PBE level.

Properties
Formation energy (meV/atom): -90

abc: 8.085 8.085 3.639
angles: 90.00 90.00 90.00
Sites, in units of the cell vectors:
Y: 0.000 0.000 0.000
Y: 0.500 0.500 0.000
Ti: 0.117 0.383 0.000
Ti: 0.383 0.883 0.000
Ti: 0.617 0.117 0.000
Ti: 0.883 0.617 0.000
Bi: 0.174 0.674 0.500
Bi: 0.326 0.174 0.500
Bi: 0.674 0.826 0.500
Bi: 0.826 0.326 0.500

# 2
Below is an optimized crystal structure of LaY2Co, with properties calculated at the GGA-PBE level.

Properties
Formation energy (meV/atom): 346

abc: 5.296 5.296 5.296
angles: 60.00 60.00 60.00
Sites, in units of the cell vectors:
La: 0.000 0.000 0.000
Y: 0.250 0.250 0.250
Y: 0.500 0.500 0.500
Co: 0.750 0.750 0.750